Record 1
TiVC3: relaxed, PBE-GGA.

Results
Offset from the most stable computed form (meV per atom): 0

Lattice parameters (Å, degrees): 3.8109 3.8109 3.8109 90.00 90.00 90.00
Closest atoms and distances in Å follow each position.
Sites, in units of the cell vectors:
C1 0.0000 0.5000 0.0000  2 V 1.91
C2 0.0000 0.0000 0.5000  2 V 1.91
C3 0.5000 0.0000 0.0000  2 V 1.91
V1 0.0000 0.0000 0.0000  6 C 1.91
Ti1 0.5000 0.5000 0.5000  12 C 2.69


Record 2
Ti3VC4: relaxed, PBE-GGA.

Results
Offset from the most stable computed form (meV per atom): 0

Lattice parameters (Å, degrees): 3.0336 5.2520 5.2520 109.36 90.00 90.00
Closest atoms and distances in Å follow each position.
Sites, in units of the cell vectors:
Ti1 0.0000 0.0000 0.5000  6 C 2.14-2.15
Ti2 0.5000 0.5000 0.5000  6 C 2.17
Ti3 0.0000 0.5000 0.0000  6 C 2.14-2.15
V1 0.5000 0.0000 0.0000  6 C 2.11-2.12
C1 0.0000 0.2440 0.2440  2 V 2.12, 4 Ti 2.14-2.17
C2 0.5000 0.7533 0.2467  1 V 2.11, 5 Ti 2.15-2.17
C3 0.0000 0.7560 0.7560  2 V 2.12, 4 Ti 2.14-2.17
C4 0.5000 0.2467 0.7533  1 V 2.11, 5 Ti 2.15-2.17